Material: Li3AcTl4
Method: DFT, PBE
State: optimized geometry

Calculated values
E_form (eV per atom): -0.26
Size of the total moment (μB/atom): 0.0000
Symmetry: R-3m
Total energy (eV/atom): -2.67
Theoretical density (g cm⁻³): 8.77

a b c (Å): 10.1020 10.1020 10.1020
angles (deg): 28.07 28.07 28.07
Atoms (fractional coordinates):
Li 0.0000 0.0000 0.0000
Li 0.2665 0.2665 0.2665
Li 0.7335 0.7335 0.7335
Ac 0.5000 0.5000 0.5000
Tl 0.1011 0.1011 0.1011
Tl 0.3728 0.3728 0.3728
Tl 0.6272 0.6272 0.6272
Tl 0.8989 0.8989 0.8989



Material: LiAc2Tl2
Method: DFT, PBE
State: optimized geometry

Calculated values
E_form (eV per atom): -0.21
Size of the total moment (μB/atom): 0.0000
Symmetry: Ibam
Total energy (eV/atom): -3.18
Theoretical density (g cm⁻³): 8.54

a b c (Å): 8.5437 8.5437 8.5437
angles (deg): 130.79 70.37 133.05
Atoms (fractional coordinates):
Li 0.2500 0.2500 0.0000
Li 0.7500 0.7500 0.0000
Ac 0.1464 0.7003 0.8468
Ac 0.3536 0.2003 0.5539
Ac 0.6464 0.7997 0.4461
Ac 0.8536 0.2997 0.1532
Tl 0.1077 0.2167 0.3244
Tl 0.3923 0.7167 0.1091
Tl 0.6077 0.2833 0.8909
Tl 0.8923 0.7833 0.6756



Material: LiAcTl2
Method: DFT, PBE
State: optimized geometry

Calculated values
E_form (eV per atom): -0.33
Size of the total moment (μB/atom): 0.0000
Symmetry: R-3m
Total energy (eV/atom): -3.02
Theoretical density (g cm⁻³): 9.07

a b c (Å): 6.2406 6.2406 6.2406
angles (deg): 46.73 46.73 46.73
Atoms (fractional coordinates):
Li 0.0000 0.0000 0.0000
Ac 0.5000 0.5000 0.5000
Tl 0.2825 0.2825 0.2825
Tl 0.7175 0.7175 0.7175



Material: Li2AcTm2Tl2
Method: DFT, PBE
State: optimized geometry

Calculated values
E_form (eV per atom): -0.19
Size of the total moment (μB/atom): 0.0000
Symmetry: R-3m
Total energy (eV/atom): -3.28
Theoretical density (g cm⁻³): 8.47

a b c (Å): 9.6486 9.6486 9.6486
angles (deg): 29.56 29.56 29.56
Atoms (fractional coordinates):
Li 0.0790 0.0790 0.0790
Li 0.9210 0.9210 0.9210
Ac 0.5000 0.5000 0.5000
Tm 0.3681 0.3681 0.3681
Tm 0.6319 0.6319 0.6319
Tl 0.2479 0.2479 0.2479
Tl 0.7521 0.7521 0.7521